A relaxed NaPmCu2Cl8 crystal. Source: Alexandria, functional PBE.

Energy = -3.652 eV/atom
Symmetry = I-4

Lattice parameters (Å, degrees): 8.2399 8.2399 8.2399 133.71 133.71 67.54
Positions (direct):
Na  0.0000  0.0000  0.0000
Pm  0.2500  0.7500  0.5000
Cu  0.5000  0.5000  0.0000
Cu  0.7500  0.2500  0.5000
Cl  0.2732  0.7020  0.1247
Cl  0.2980  0.4227  0.5712
Cl  0.4085  0.0154  0.0603
Cl  0.5773  0.1485  0.8753
Cl  0.6519  0.5915  0.6070
Cl  0.8515  0.7268  0.4288
Cl  0.9551  0.3481  0.9397
Cl  0.9846  0.0449  0.3930

A relaxed CdTc2HBr crystal. Source: Alexandria, functional PBE.

Energy = -4.054 eV/atom
Symmetry = P4/mmm

Lattice parameters (Å, degrees): 4.8377 4.8377 3.3049 90.00 90.00 90.00
Positions (direct):
Cd  0.0000  0.0000  0.0000
Tc  0.0000  0.5000  0.5000
Tc  0.5000  0.0000  0.5000
H  0.5000  0.5000  0.0000
Br  0.5000  0.5000  0.5000

A relaxed AgOsCl2 crystal. Source: Alexandria, functional PBE.

Distance to the lowest polymorph of the same formula = 0.00 kcal/mol of atoms
Symmetry = C2/m

Lattice parameters (Å, degrees): 7.0857 7.0857 4.9375 110.26 110.26 23.87
Positions (direct):
Ag  0.0000  0.0000  0.0000
Os  0.5000  0.5000  0.5000
Cl  0.1458  0.1458  0.6457
Cl  0.8542  0.8542  0.3543